(1)
Density functional theory data (PBE) for a relaxed RbInGa2Pb crystal.

a = 5.0073 Å, b = 4.9369 Å, c = 6.9625 Å
α = 110.76°, β = 111.07°, γ = 90.00°
Closest atoms and distances in Å follow each position.
Fractional positions:
Rb 0.4450 0.4450 0.8901  8 Ga 3.75-4.05, 4 Pb 3.78, 4 In 3.81-3.99
In 0.1842 0.6842 0.3684  2 Ga 2.81, 2 Pb 3.06
Ga 0.6804 0.1804 0.3609  2 Ga 2.82, 2 Pb 3.06
Ga 0.0720 0.0720 0.1441  2 In 2.81, 2 Ga 2.82, 1 Pb 2.90
Pb 0.8304 0.8304 0.6609  3 Ga 2.90-3.06, 2 In 3.06

Output
crystal system	orthorhombic
symmetry	No. 44



(2)
Density functional theory data (PBE) for a relaxed Sc3GaPd4 crystal.

a = 4.6099 Å, b = 6.5032 Å, c = 9.2187 Å
α = 90.00°, β = 90.00°, γ = 90.00°
Closest atoms and distances in Å follow each position.
Fractional positions:
Sc 0.0000 0.0000 0.0000  8 Pd 2.83
Sc 0.0000 0.0000 0.5000  8 Pd 2.83
Sc 0.5008 0.0000 0.7500  8 Pd 2.83
Sc 0.4992 0.0000 0.2500  8 Pd 2.83
Sc 0.5014 0.5000 0.7500  8 Pd 2.81
Sc 0.4986 0.5000 0.2500  8 Pd 2.81
Pd 0.5000 0.7475 0.0000  6 Sc 2.81-2.83, 2 Ga 2.81
Pd 0.5000 0.7475 0.5000  6 Sc 2.81-2.83, 2 Ga 2.81
Pd 0.5000 0.2525 0.0000  6 Sc 2.81-2.83, 2 Ga 2.81
Pd 0.5000 0.2525 0.5000  6 Sc 2.81-2.83, 2 Ga 2.81
Pd 0.0014 0.7473 0.7500  6 Sc 2.81-2.83, 2 Ga 2.81
Pd 0.9986 0.7473 0.2500  6 Sc 2.81-2.83, 2 Ga 2.81
Pd 0.9986 0.2527 0.2500  6 Sc 2.81-2.83, 2 Ga 2.81
Pd 0.0014 0.2527 0.7500  6 Sc 2.81-2.83, 2 Ga 2.81
Ga 0.0000 0.5000 0.0000  8 Pd 2.81
Ga 0.0000 0.5000 0.5000  8 Pd 2.81

Output
crystal system	orthorhombic
symmetry	No. 51



The evaluated calculated volume for the records listed, in turn: 29.71; 17.27 Å³/atom.
The evaluated energy relative to the elements for the records listed, in turn: -0.082; -0.852 eV/atom.
The evaluated calculated total energy for the records listed, in turn: -2.776; -6.201 eV per atom.